Entry 1:
Below is an optimized crystal structure of Pr8AsP6, with properties calculated at the PBE level.

crystal system: trigonal
symmetry: P-3 (147)
formation enthalpy at 0 K: -17.44 eV per formula unit

```
Pr8AsP6
1.0
-1.1185 -3.8048 -1.6803
4.3029 -4.9755 8.4018
-10.2601 2.9235 0.2099
P Pr As
6 8 1
direct
0.7556 0.8668 0.5223
0.2444 0.5223 0.6555
0.2444 0.1332 0.4777
0.2444 0.3445 0.8668
0.7556 0.6555 0.1332
0.7556 0.4777 0.3445
0.7426 0.9663 0.3036
0.2574 0.3036 0.3373
0.7426 0.6964 0.6627
0.2574 0.0337 0.6964
0.7488 0.3333 0.6667
0.7426 0.3373 0.0337
0.2574 0.6627 0.9663
0.2512 0.6667 0.3333
0.5000 0.0000 0.0000
```


Entry 2:
Below is an optimized crystal structure of Tb2FeC, with properties calculated at the PBE level.

crystal system: trigonal
symmetry: R-3m (166)
formation enthalpy at 0 K: 1.62 eV per formula unit

```
Tb2FeC
1.0
-1.8154 0.9703 2.8089
0.4570 -1.6594 3.0273
5.5569 5.1322 3.9772
Tb C Fe
2 1 1
direct
0.8885 0.8885 0.3346
0.1115 0.1115 0.6654
0.5000 0.5000 0.5000
0.0000 0.0000 0.0000
```


Entry 3:
Below is an optimized crystal structure of Ca2GdCd, with properties calculated at the PBE level.

crystal system: trigonal
symmetry: R-3m (166)
formation enthalpy at 0 K: 0.43 eV per formula unit
energy relative to the lowest polymorph listed for this composition: 0.209 eV per atom

```
Ca2GdCd
1.0
3.6156 0.0000 0.0000
1.8078 3.1312 0.0000
1.8078 1.0437 12.0619
Cd Ca Gd
1 2 1
direct
0.5000 0.5000 0.5000
0.9043 0.9043 0.2871
0.0957 0.0957 0.7129
0.0000 0.0000 0.0000
```


Entry 4:
Below is an optimized crystal structure of MnNbSe2, with properties calculated at the PBE level.

crystal system: tetragonal
symmetry: I-42d (122)
formation energy from raw total energies: 0.104 eV/atom
energy relative to the lowest polymorph listed for this composition: 0.397 eV per atom

```
MnNbSe2
1.0
5.7382 0.0000 0.0000
0.0000 5.7382 0.0000
2.8691 2.8691 5.1819
Mn Se Nb
2 4 2
direct
0.5000 0.5000 0.0000
0.2500 0.7500 0.5000
0.1610 0.6250 0.2500
0.8750 0.8390 0.7500
0.5890 0.1250 0.2500
0.3750 0.4110 0.7500
0.0000 0.0000 0.0000
0.7500 0.2500 0.5000
```


no.,size of the total moment (μB per cell),E_tot (eV/atom)
1,0.000,-6.185
2,1.913,-6.331
3,7.930,-4.642
4,0.000,-6.448